# 1
# Ti2MnBeP

A relaxed structure of Ti2MnBeP (PBE, the Alexandria database).

Unit cell a=4.5459 b=4.5459 c=3.7527 alpha=90.00 beta=90.00 gamma=90.00
Last column: nearest neighbours and their distance in Å.
Positions (direct):
Ti1 0.0000 0.5000 0.0000  2 P 2.27
Ti2 0.5000 0.0000 0.0000  2 P 2.27
Mn1 0.0000 0.0000 0.5000  8 Ti 2.95, 4 Be 3.21
Be1 0.5000 0.5000 0.5000  2 P 1.88
P1 0.5000 0.5000 0.0000  2 Be 1.88

Calculated values
D(E_F)   5.01 states/eV per cell
E_form   0.33 eV/atom
Volume   77.55 Å³ per cell
VASP energy   -6.491 eV per atom

# 2
# UMnBeP2

A relaxed structure of UMnBeP2 (PBE, the Alexandria database).

Unit cell a=5.5346 b=5.5346 c=5.5346 alpha=140.62 beta=140.62 gamma=56.92
Last column: nearest neighbours and their distance in Å.
Positions (direct):
U1 0.0000 0.0000 0.0000  8 P 2.89, 4 Mn 3.07, 4 Be 3.07
Mn1 0.7500 0.2500 0.5000  4 P 2.24
Be1 0.2500 0.7500 0.5000  4 P 2.24
P1 0.3777 0.3777 0.0000  2 Mn 2.24, 2 Be 2.24, 1 P 2.38
P2 0.6223 0.6223 0.0000  2 Mn 2.24, 2 Be 2.24, 1 P 2.38

Calculated values
D(E_F)   5.80 states/eV per cell
E_form   -0.59 eV/atom
Volume   67.69 Å³ per cell
VASP energy   -7.588 eV per atom

# 3
# PaMn2Be

A relaxed structure of PaMn2Be (PBE, the Alexandria database).

Unit cell a=4.0135 b=4.0135 c=3.4600 alpha=90.00 beta=90.00 gamma=90.00
Last column: nearest neighbours and their distance in Å.
Positions (direct):
Pa1 0.0000 0.0000 0.0000  8 Mn 2.65, 4 Be 2.84
Mn1 0.0000 0.5000 0.5000  4 Be 2.65, 4 Pa 2.65, 4 Mn 2.84
Mn2 0.5000 0.0000 0.5000  4 Be 2.65, 4 Pa 2.65, 4 Mn 2.84
Be1 0.5000 0.5000 0.0000  8 Mn 2.65, 4 Pa 2.84

Calculated values
D(E_F)   3.87 states/eV per cell
E_form   0.04 eV/atom
Volume   55.73 Å³ per cell
VASP energy   -7.852 eV per atom

> Which of these has the highest VASP energy?

Ti2MnBeP

> Among the records above, which one has the highest D(E_F)?

UMnBeP2

> Among the records above, which one has the lowest D(E_F)?

PaMn2Be

> VASP energy of number 3 (PaMn2Be)?

-7.852 eV per atom